Entry 1:
Crystalline PmErCuOs at its relaxed geometry, computed with PBE. Values from VASP.

The structure in Quantum ESPRESSO input format:
```
&SYSTEM
  ibrav = 0, nat = 4, ntyp = 4
/
ATOMIC_SPECIES
Pm 145.00 Pm.upf
Os 190.23 Os.upf
Cu 63.55 Cu.upf
Er 167.26 Er.upf
CELL_PARAMETERS angstrom
4.896 0.000 0.000
2.448 4.240 0.000
2.448 1.413 3.998
ATOMIC_POSITIONS angstrom
Pm 0.000 0.000 0.000
Os 7.344 4.240 2.998
Cu 2.448 1.413 0.999
Er 4.896 2.827 1.999
```

Results
density of states at the Fermi level = 2.790 states/eV per cell
energy relative to the elements = -0.192 eV/atom



Entry 2:
Crystalline KTlSb2 at its relaxed geometry, computed with PBE. Values from VASP.

The structure in Quantum ESPRESSO input format:
```
&SYSTEM
  ibrav = 0, nat = 4, ntyp = 3
/
ATOMIC_SPECIES
K 39.10 K.upf
Sb 121.76 Sb.upf
Tl 204.38 Tl.upf
CELL_PARAMETERS angstrom
-2.840 -3.940 3.794
0.265 -5.198 3.301
2.050 2.822 5.702
ATOMIC_POSITIONS angstrom
K -0.114 -1.541 3.212
Sb -0.611 -6.379 12.407
Sb -0.401 -4.850 9.832
Tl -0.184 -3.022 6.543
```

Results
density of states at the Fermi level = 1.579 states/eV per cell
E_form (uncorrected) = -0.1080 eV per atom



Entry 3:
Crystalline Tm3HfCo4 at its relaxed geometry, computed with PBE. Values from VASP.

The structure in Quantum ESPRESSO input format:
```
&SYSTEM
  ibrav = 0, nat = 8, ntyp = 3
/
ATOMIC_SPECIES
Co 58.93 Co.upf
Tm 168.93 Tm.upf
Hf 178.49 Hf.upf
CELL_PARAMETERS angstrom
-3.222 0.403 -0.042
-0.164 -0.985 3.090
1.489 12.334 4.011
ATOMIC_POSITIONS angstrom
Co 1.325 10.980 3.571
Co 0.164 1.355 0.441
Co 0.553 4.583 1.490
Co 0.936 7.751 2.521
Tm -1.324 2.765 2.518
Tm -0.948 5.876 3.530
Tm -0.573 8.987 4.541
Hf -1.693 -0.291 1.524
```

Results
density of states at the Fermi level = 2.412 states/eV per cell
energy relative to the elements = -0.287 eV/atom



These records have uncorrected energy values of -6.352, -3.035, -6.761 eV per atom, in the order they appear.
These records have magnetic moment values of 0.00, 0.00, 1.42 Bohr magnetons per cell, in the order they appear.